(1)
Tb2NdTl3PtAu2 (PBE, optimized geometry); total magnetic moment = 0.0 μB per formula unit; total energy = -4.386 eV/atom
1.0
-3.682 0.422 1.461
-2.656 -5.314 -5.162
2.547 -2.298 7.083
Tl Au Nd Tb Pt
3 2 1 2 1
Cartesian
-3.807 -3.723 -3.091
-1.870 -1.771 1.231
0.044 -1.490 5.974
-1.011 -3.071 3.771
-2.781 -4.097 -0.394
-0.065 -4.564 1.152
-1.641 -6.228 -2.338
1.488 -4.414 5.024
-0.001 -0.036 0.009

=====

(2)
NdPuAu (PBE, optimized geometry); distance to the lowest polymorph of the same formula = 0 meV per atom; total magnetic moment = 6.0 μB per formula unit
1.0
1.603 1.520 4.403
-0.134 4.788 1.152
-3.210 1.637 3.360
Au Pu Nd
1 1 1
Cartesian
-0.870 3.972 4.457
-1.305 5.958 6.686
0.000 0.000 0.000

=====

(3)
RbNdAu3S4 (PBE, optimized geometry); total magnetic moment = 0.1 μB per formula unit; total energy = -4.015 eV/atom
1.0
6.474 0.000 0.000
0.000 6.474 0.000
0.000 0.000 6.474
S Nd Au Rb
4 1 3 1
Cartesian
4.738 1.735 4.738
1.735 4.738 4.738
1.735 1.735 1.735
4.738 4.738 1.735
3.237 3.237 3.237
3.237 3.237 0.000
3.237 0.000 3.237
0.000 3.237 3.237
0.000 0.000 0.000